Compound: CuIr2Pb
Source: Alexandria
Functional: GGA-PBEsol
Structure: relaxed

a = 3.8584 Å, b = 4.0102 Å, c = 4.0102 Å
α = 90.00°, β = 90.00°, γ = 90.00°
Last column: nearest neighbours and their distance in Å.
Atoms (fractional coordinates):
Cu 0.5000 0.0000 0.0000  8 Ir 2.78, 4 Pb 2.84
Ir 0.0000 0.0000 0.5000  4 Cu 2.78, 4 Pb 2.78, 4 Ir 2.84
Ir 0.0000 0.5000 0.0000  4 Pb 2.78, 4 Cu 2.78, 4 Ir 2.84
Pb 0.5000 0.5000 0.5000  8 Ir 2.78, 4 Cu 2.84

Summary:
The value obtained for the density is 17534 kg/m³. The total energy comes out at -6.57 eV/atom. As for the space group: No. 123. The value obtained for the formation energy is 0.422 eV/atom.